[1]
12
Lattice="-0.806 3.309 0.656 -5.712 -0.936 -2.296 -9.528 -5.081 13.923" Properties=species:S:1:pos:R:3 comment="Dy3Ho2Tm7 | Alexandria via LeMat-Bulk | PBE | optimized geometry" space_group=P2/m vol_a3_per_atom=30.722 ef_ev_per_fu=1.02 relative_energy_mev_per_atom=0 pbc="T T T"
Tm -4.776 -1.364 1.013
Tm -10.464 -4.653 10.614
Dy -3.870 -1.840 4.528
Ho -7.009 -0.576 3.459
Dy -11.370 -4.177 7.099
Tm 0.000 0.000 0.000
Tm -6.575 -1.121 6.743
Tm -9.471 -1.588 5.540
Tm -13.725 -3.461 9.763
Ho -9.037 -2.133 8.824
Tm -2.322 0.752 2.520
Dy -3.259 1.186 -0.820

---

[2]
16
Lattice="-1.657 4.057 2.563 -2.111 -3.051 3.465 17.325 0.262 10.783" Properties=species:S:1:pos:R:3 comment="La12ScCd3 | Alexandria via LeMat-Bulk | PBE | optimized geometry" space_group=P4/mmm vol_a3_per_atom=32.875 ef_ev_per_fu=-1.42 pbc="T T T"
La 2.450 0.568 5.711
La -1.884 0.503 3.014
La 1.352 2.061 2.639
La 5.458 -1.427 5.787
La 11.108 0.699 11.100
Cd 4.386 0.066 2.730
La 14.089 -1.297 11.159
La 5.686 2.127 5.336
Cd 12.938 0.195 8.053
Cd 8.662 0.131 5.392
La 9.982 2.192 8.010
La 6.779 0.634 8.406
La 1.125 -1.493 3.090
La 9.755 -1.362 8.461
La 14.316 2.257 10.708
Sc 0.000 0.000 0.000

---

[3]
4
Lattice="5.139 0.000 0.000 2.569 4.450 0.000 2.569 1.483 4.196" Properties=species:S:1:pos:R:3 comment="PmSc2Sb | Alexandria via LeMat-Bulk | PBE | optimized geometry" raw_formation_energy_ev_per_atom=-0.287 space_group=Fm-3m vol_a3_per_atom=23.990 relative_energy_mev_per_atom=275 pbc="T T T"
Sc 7.708 4.450 3.147
Pm 0.000 0.000 0.000
Sb 5.139 2.967 2.098
Sc 2.569 1.483 1.049

---

[4]
12
Lattice="-3.040 -2.759 -0.188 3.353 -3.226 -6.877 5.497 -3.442 6.523" Properties=species:S:1:pos:R:3 comment="Th6P2AuS3 | Alexandria via LeMat-Bulk | PBE | optimized geometry" raw_formation_energy_ev_per_atom=-1.511 space_group=C2/m vol_a3_per_atom=24.950 pbc="T T T"
Th 0.140 -3.319 1.512
P 2.461 -2.703 -0.126
P 3.349 -6.724 -0.415
Th 5.670 -6.108 -2.054
Au -1.520 -1.379 -0.094
S 0.157 -2.992 -3.533
S 4.094 -4.266 -3.610
Th 4.912 -8.558 1.228
Th 1.748 -4.855 -1.952
Th 0.898 -0.869 -1.770
Th 4.062 -4.572 1.410
S 1.716 -5.161 3.068